A crystal of CaCoSn3 relaxed with PBEsol, computed with SCAN.

The structure in POSCAR format:
```
CaCoSn3
1.0
-2.310 2.310 5.343
2.310 -2.310 5.343
2.310 2.310 -5.343
Ca Co Sn
1 1 3
direct
0.000 0.000 0.000
0.666 0.666 0.000
0.251 0.751 0.500
0.443 0.443 0.000
0.751 0.251 0.500
```

DFT formation energy = -285 meV per atom
N(E_F) = 0.504 states/eV/atom